A plane-wave DFT calculation with SCAN was carried out for MgHgAu2 at its PBEsol-relaxed geometry.

Cell: 3.0487 3.0487 27.4081 Å, 90.00 90.00 120.00°
Last column: nearest neighbours and their distance in Å.
Fractional positions:
Mg: 0.0000 0.0000 0.0000  6 Au 2.75, 6 Mg 3.05
Mg: 0.3333 0.6667 0.6667  6 Au 2.75, 6 Mg 3.05
Mg: 0.6667 0.3333 0.3333  6 Au 2.75, 6 Mg 3.05
Hg: 0.0000 0.0000 0.5000  6 Au 3.02, 6 Hg 3.05
Hg: 0.3333 0.6667 0.1667  6 Au 3.02, 6 Hg 3.05
Hg: 0.6667 0.3333 0.8333  6 Au 3.02, 6 Hg 3.05
Au: 0.0000 0.0000 0.2562  3 Mg 2.75, 3 Hg 3.02, 6 Au 3.05
Au: 0.0000 0.0000 0.7438  3 Mg 2.75, 3 Hg 3.02, 6 Au 3.05
Au: 0.3333 0.6667 0.4104  3 Mg 2.75, 3 Hg 3.02, 6 Au 3.05
Au: 0.3333 0.6667 0.9229  3 Mg 2.75, 3 Hg 3.02, 6 Au 3.05
Au: 0.6667 0.3333 0.0771  3 Mg 2.75, 3 Hg 3.02, 6 Au 3.05
Au: 0.6667 0.3333 0.5896  3 Mg 2.75, 3 Hg 3.02, 6 Au 3.05

## Properties
- ΔE_f: -0.2350 eV/atom
- DOS at the Fermi energy: 0.330 states/eV/atom
- Spin magnetization: 0.00 μB per atom
- Space-group type: R-3m, No. 166